(1)
Density functional theory data (PBE-GGA) for a relaxed La5TmZn4 crystal.

Output
Its density of states at the Fermi level is 13.362 states/eV per cell. The calculation puts the formation enthalpy at 0 K at -23 kJ/mol of atoms. As for the crystal system: tetragonal. Its calculated volume is 28.1 Å³ per atom.

Geometry as POSCAR:
```
La5TmZn4
1.0
3.765 0.000 0.000
0.000 3.765 0.000
0.000 0.000 19.836
La Tm Zn
5 1 4
direct
0.000 0.000 0.000 La
0.000 0.000 0.189 La
0.000 0.000 0.376 La
0.000 0.000 0.624 La
0.000 0.000 0.811 La
0.500 0.500 0.500 Tm
0.500 0.500 0.094 Zn
0.500 0.500 0.285 Zn
0.500 0.500 0.715 Zn
0.500 0.500 0.906 Zn
```

(2)
Density functional theory data (PBE-GGA) for a relaxed La2Tm3Zn3 crystal.

Output
Its density of states at the Fermi level is 14.711 states/eV per cell. The calculation puts the formation enthalpy at 0 K at -21 kJ/mol of atoms. As for the crystal system: orthorhombic. Its calculated volume is 25.5 Å³ per atom.

Geometry as POSCAR:
```
La2Tm3Zn3
1.0
3.639 0.000 0.000
0.000 5.052 0.000
0.000 0.000 22.151
La Tm Zn
4 6 6
direct
0.000 0.000 0.226 La
0.000 0.000 0.774 La
0.500 0.500 0.274 La
0.500 0.500 0.726 La
0.000 0.000 0.000 Tm
0.000 0.500 0.112 Tm
0.000 0.500 0.888 Tm
0.500 0.000 0.388 Tm
0.500 0.000 0.612 Tm
0.500 0.500 0.500 Tm
0.000 0.000 0.500 Zn
0.000 0.500 0.393 Zn
0.000 0.500 0.607 Zn
0.500 0.000 0.107 Zn
0.500 0.000 0.893 Zn
0.500 0.500 0.000 Zn
```

(3)
Density functional theory data (PBE-GGA) for a relaxed LaTm2Zn crystal.

Output
Its density of states at the Fermi level is 10.798 states/eV per cell. The calculation puts the formation enthalpy at 0 K at -15 kJ/mol of atoms. As for the crystal system: orthorhombic. Its calculated volume is 28.2 Å³ per atom. The value obtained for the energy above the most stable polymorph in this dataset is 6.1 meV/atom.

Geometry as POSCAR:
```
LaTm2Zn
1.0
3.661 0.000 0.000
0.000 5.475 0.000
0.000 0.000 11.257
La Tm Zn
2 4 2
direct
0.000 0.000 0.000 La
0.500 0.500 0.500 La
0.000 0.500 0.213 Tm
0.000 0.500 0.787 Tm
0.500 0.000 0.287 Tm
0.500 0.000 0.713 Tm
0.000 0.000 0.500 Zn
0.500 0.500 0.000 Zn
```

(4)
Density functional theory data (PBE-GGA) for a relaxed La4TmZn crystal.

Output
Its density of states at the Fermi level is 8.753 states/eV per cell. The calculation puts the formation enthalpy at 0 K at -8 kJ/mol of atoms. As for the crystal system: tetragonal. Its calculated volume is 32.4 Å³ per atom.

Geometry as POSCAR:
```
La4TmZn
1.0
3.722 0.000 0.000
0.000 3.722 0.000
0.000 0.000 14.041
La Tm Zn
4 1 1
direct
0.000 0.000 0.135 La
0.000 0.000 0.865 La
0.500 0.500 0.323 La
0.500 0.500 0.677 La
0.000 0.000 0.500 Tm
0.500 0.500 0.000 Zn
```

(5)
Density functional theory data (PBE-GGA) for a relaxed La3Tm2Zn3 crystal.

Output
Its density of states at the Fermi level is 19.008 states/eV per cell. The calculation puts the formation enthalpy at 0 K at -23 kJ/mol of atoms. As for the crystal system: orthorhombic. Its calculated volume is 27.4 Å³ per atom.

Geometry as POSCAR:
```
La3Tm2Zn3
1.0
3.692 0.000 0.000
0.000 5.407 0.000
0.000 0.000 21.943
La Tm Zn
6 4 6
direct
0.000 0.000 0.000 La
0.000 0.500 0.121 La
0.000 0.500 0.879 La
0.500 0.000 0.379 La
0.500 0.000 0.621 La
0.500 0.500 0.500 La
0.000 0.000 0.231 Tm
0.000 0.000 0.769 Tm
0.500 0.500 0.269 Tm
0.500 0.500 0.731 Tm
0.000 0.000 0.500 Zn
0.000 0.500 0.376 Zn
0.000 0.500 0.624 Zn
0.500 0.000 0.124 Zn
0.500 0.000 0.876 Zn
0.500 0.500 0.000 Zn
```

(6)
Density functional theory data (PBE-GGA) for a relaxed LaTm2Zn crystal.

Output
Its density of states at the Fermi level is 5.479 states/eV per cell. The calculation puts the formation enthalpy at 0 K at -2 kJ/mol of atoms. As for the crystal system: tetragonal. Its calculated volume is 27.5 Å³ per atom. The value obtained for the energy above the most stable polymorph in this dataset is 141.7 meV/atom.

Geometry as POSCAR:
```
LaTm2Zn
1.0
4.763 0.000 0.000
0.000 4.763 0.000
0.000 0.000 4.841
La Tm Zn
1 2 1
direct
0.000 0.000 0.000 La
0.000 0.500 0.500 Tm
0.500 0.000 0.500 Tm
0.500 0.500 0.000 Zn
```

(7)
Density functional theory data (PBE-GGA) for a relaxed LaTmZn2 crystal.

Output
Its density of states at the Fermi level is 4.274 states/eV per cell. The calculation puts the formation enthalpy at 0 K at -31 kJ/mol of atoms. As for the crystal system: tetragonal. Its calculated volume is 24.1 Å³ per atom.

Geometry as POSCAR:
```
LaTmZn2
1.0
3.588 0.000 0.000
0.000 3.588 0.000
0.000 0.000 7.477
La Tm Zn
1 1 2
direct
0.000 0.000 0.000 La
0.000 0.000 0.500 Tm
0.500 0.500 0.282 Zn
0.500 0.500 0.718 Zn
```

(8)
Density functional theory data (PBE-GGA) for a relaxed La2TmZn crystal.

Output
Its density of states at the Fermi level is 5.636 states/eV per cell. The calculation puts the formation enthalpy at 0 K at -12 kJ/mol of atoms. As for the crystal system: tetragonal. Its calculated volume is 30.4 Å³ per atom. The value obtained for the energy above the most stable polymorph in this dataset is 32.0 meV/atom.

Geometry as POSCAR:
```
La2TmZn
1.0
3.745 0.000 0.000
0.000 3.745 0.000
0.000 0.000 8.677
La Tm Zn
2 1 1
direct
0.000 0.000 0.215 La
0.000 0.000 0.785 La
0.500 0.500 0.500 Tm
0.500 0.500 0.000 Zn
```

(9)
Density functional theory data (PBE-GGA) for a relaxed La12TmZn6 crystal.

Output
Its density of states at the Fermi level is 27.434 states/eV per cell. The calculation puts the formation enthalpy at 0 K at -6 kJ/mol of atoms. As for the crystal system: trigonal. Its calculated volume is 29.8 Å³ per atom.

Geometry as POSCAR:
```
La12TmZn6
1.0
7.564 4.367 2.858
-7.564 4.367 2.858
0.000 -8.735 2.858
La Tm Zn
12 1 6
direct
0.085 0.183 0.723 La
0.183 0.723 0.085 La
0.186 0.351 0.490 La
0.277 0.915 0.817 La
0.351 0.490 0.186 La
0.490 0.186 0.351 La
0.510 0.814 0.649 La
0.649 0.510 0.814 La
0.723 0.085 0.183 La
0.814 0.649 0.510 La
0.817 0.277 0.915 La
0.915 0.817 0.277 La
0.000 0.000 0.000 Tm
0.069 0.578 0.349 Zn
0.349 0.069 0.578 Zn
0.422 0.651 0.931 Zn
0.578 0.349 0.069 Zn
0.651 0.931 0.422 Zn
0.931 0.422 0.651 Zn
```

(10)
Density functional theory data (PBE-GGA) for a relaxed LaTm2Zn3 crystal.

Output
Its density of states at the Fermi level is 6.637 states/eV per cell. The calculation puts the formation enthalpy at 0 K at -31 kJ/mol of atoms. As for the crystal system: tetragonal. Its calculated volume is 23.3 Å³ per atom.

Geometry as POSCAR:
```
LaTm2Zn3
1.0
3.581 0.000 0.000
0.000 3.581 0.000
0.000 0.000 10.904
La Tm Zn
1 2 3
direct
0.000 0.000 0.000 La
0.000 0.000 0.341 Tm
0.000 0.000 0.659 Tm
0.500 0.500 0.191 Zn
0.500 0.500 0.500 Zn
0.500 0.500 0.809 Zn
```

(11)
Density functional theory data (PBE-GGA) for a relaxed La6TmZn5 crystal.

Output
Its density of states at the Fermi level is 12.987 states/eV per cell. The calculation puts the formation enthalpy at 0 K at -21 kJ/mol of atoms. As for the crystal system: monoclinic. Its calculated volume is 27.6 Å³ per atom.

Geometry as POSCAR:
```
La6TmZn5
1.0
5.315 0.000 0.000
0.000 7.643 0.000
-2.659 0.000 8.143
La Tm Zn
6 1 5
direct
0.000 0.223 0.000 La
0.000 0.777 0.000 La
0.327 0.246 0.651 La
0.327 0.754 0.651 La
0.673 0.246 0.349 La
0.673 0.754 0.349 La
0.500 0.500 0.000 Tm
0.147 0.500 0.299 Zn
0.165 0.000 0.335 Zn
0.500 0.000 0.000 Zn
0.835 0.000 0.665 Zn
0.853 0.500 0.701 Zn
```

(12)
Density functional theory data (PBE-GGA) for a relaxed LaTm5Zn4 crystal.

Output
Its density of states at the Fermi level is 11.641 states/eV per cell. The calculation puts the formation enthalpy at 0 K at -26 kJ/mol of atoms. As for the crystal system: tetragonal. Its calculated volume is 24.2 Å³ per atom.

Geometry as POSCAR:
```
LaTm5Zn4
1.0
3.540 0.000 0.000
0.000 3.540 0.000
0.000 0.000 19.335
La Tm Zn
1 5 4
direct
0.000 0.000 0.000 La
0.500 0.500 0.139 Tm
0.500 0.500 0.319 Tm
0.500 0.500 0.500 Tm
0.500 0.500 0.681 Tm
0.500 0.500 0.861 Tm
0.000 0.000 0.228 Zn
0.000 0.000 0.409 Zn
0.000 0.000 0.591 Zn
0.000 0.000 0.772 Zn
```

(13)
Density functional theory data (PBE-GGA) for a relaxed LaTm2Zn crystal.

Output
Its density of states at the Fermi level is 14.367 states/eV per cell. The calculation puts the formation enthalpy at 0 K at 7 kJ/mol of atoms. As for the crystal system: trigonal. Its calculated volume is 28.9 Å³ per atom. The value obtained for the energy above the most stable polymorph in this dataset is 234.2 meV/atom.

Geometry as POSCAR:
```
LaTm2Zn
1.0
3.443 0.000 0.000
-1.722 2.982 0.000
0.000 0.000 33.789
La Tm Zn
3 6 3
direct
0.000 0.000 0.000 La
0.333 0.667 0.667 La
0.667 0.333 0.333 La
0.000 0.000 0.101 Tm
0.000 0.000 0.899 Tm
0.333 0.667 0.565 Tm
0.333 0.667 0.768 Tm
0.667 0.333 0.232 Tm
0.667 0.333 0.435 Tm
0.000 0.000 0.500 Zn
0.333 0.667 0.167 Zn
0.667 0.333 0.833 Zn
```

(14)
Density functional theory data (PBE-GGA) for a relaxed La2Tm2Zn crystal.

Output
Its density of states at the Fermi level is 14.517 states/eV per cell. The calculation puts the formation enthalpy at 0 K at -12 kJ/mol of atoms. As for the crystal system: tetragonal. Its calculated volume is 29.5 Å³ per atom.

Geometry as POSCAR:
```
La2Tm2Zn
1.0
3.584 0.000 0.000
0.000 3.584 0.000
0.000 0.000 22.988
La Tm Zn
4 4 2
direct
0.000 0.000 0.190 La
0.000 0.000 0.810 La
0.500 0.500 0.310 La
0.500 0.500 0.690 La
0.000 0.000 0.426 Tm
0.000 0.000 0.574 Tm
0.500 0.500 0.074 Tm
0.500 0.500 0.926 Tm
0.000 0.000 0.000 Zn
0.500 0.500 0.500 Zn
```

(15)
Density functional theory data (PBE-GGA) for a relaxed LaTmZn crystal.

Output
Its density of states at the Fermi level is 7.937 states/eV per cell. The calculation puts the formation enthalpy at 0 K at -19 kJ/mol of atoms. As for the crystal system: tetragonal. Its calculated volume is 27.6 Å³ per atom. The value obtained for the energy above the most stable polymorph in this dataset is 0.0 meV/atom.

Geometry as POSCAR:
```
LaTmZn
1.0
3.645 0.000 0.000
0.000 3.645 0.000
0.000 0.000 12.459
La Tm Zn
2 2 2
direct
0.000 0.000 0.000 La
0.500 0.500 0.500 La
0.000 0.000 0.288 Tm
0.500 0.500 0.788 Tm
0.000 0.000 0.665 Zn
0.500 0.500 0.165 Zn
```

(16)
Density functional theory data (PBE-GGA) for a relaxed LaTm2Zn4 crystal.

Output
Its density of states at the Fermi level is 5.117 states/eV per cell. The calculation puts the formation enthalpy at 0 K at -6 kJ/mol of atoms. As for the crystal system: tetragonal. Its calculated volume is 24.9 Å³ per atom.

Geometry as POSCAR:
```
LaTm2Zn4
1.0
5.046 0.000 0.000
0.000 5.046 0.000
0.000 0.000 6.844
La Tm Zn
1 2 4
direct
0.000 0.000 0.000 La
0.000 0.000 0.500 Tm
0.500 0.500 0.000 Tm
0.000 0.500 0.283 Zn
0.000 0.500 0.717 Zn
0.500 0.000 0.283 Zn
0.500 0.000 0.717 Zn
```

(17)
Density functional theory data (PBE-GGA) for a relaxed La2TmZn crystal.

Output
Its density of states at the Fermi level is 16.033 states/eV per cell. The calculation puts the formation enthalpy at 0 K at 24 kJ/mol of atoms. As for the crystal system: trigonal. Its calculated volume is 33.0 Å³ per atom. The value obtained for the energy above the most stable polymorph in this dataset is 399.7 meV/atom.

Geometry as POSCAR:
```
La2TmZn
1.0
3.527 0.000 0.000
-1.764 3.055 0.000
0.000 0.000 36.768
La Tm Zn
6 3 3
direct
0.000 0.000 0.088 La
0.000 0.000 0.912 La
0.333 0.667 0.579 La
0.333 0.667 0.754 La
0.667 0.333 0.246 La
0.667 0.333 0.421 La
0.000 0.000 0.500 Tm
0.333 0.667 0.167 Tm
0.667 0.333 0.833 Tm
0.000 0.000 0.000 Zn
0.333 0.667 0.667 Zn
0.667 0.333 0.333 Zn
```

(18)
Density functional theory data (PBE-GGA) for a relaxed La2TmZn6 crystal.

Output
Its density of states at the Fermi level is 7.079 states/eV per cell. The calculation puts the formation enthalpy at 0 K at -33 kJ/mol of atoms. As for the crystal system: hexagonal. Its calculated volume is 21.8 Å³ per atom.

Geometry as POSCAR:
```
La2TmZn6
1.0
7.948 0.000 0.000
-3.974 6.883 0.000
0.000 0.000 3.593
La Tm Zn
2 1 6
direct
0.333 0.667 0.000 La
0.667 0.333 0.000 La
0.000 0.000 0.000 Tm
0.000 0.325 0.500 Zn
0.000 0.675 0.500 Zn
0.325 0.000 0.500 Zn
0.325 0.325 0.500 Zn
0.675 0.000 0.500 Zn
0.675 0.675 0.500 Zn
```

(19)
Density functional theory data (PBE-GGA) for a relaxed LaTm2Zr crystal.

Output
Its density of states at the Fermi level is 30.700 states/eV per cell. The calculation puts the formation enthalpy at 0 K at 19 kJ/mol of atoms. As for the crystal system: cubic. Its calculated volume is 29.5 Å³ per atom. The value obtained for the energy above the most stable polymorph in this dataset is 112.5 meV/atom.

Geometry as POSCAR:
```
LaTm2Zr
1.0
7.784 0.000 0.000
0.000 7.784 0.000
0.000 0.000 7.784
La Tm Zr
4 8 4
direct
0.000 0.000 0.000 La
0.000 0.500 0.500 La
0.500 0.000 0.500 La
0.500 0.500 0.000 La
0.250 0.250 0.250 Tm
0.250 0.250 0.750 Tm
0.250 0.750 0.250 Tm
0.250 0.750 0.750 Tm
0.750 0.250 0.250 Tm
0.750 0.250 0.750 Tm
0.750 0.750 0.250 Tm
0.750 0.750 0.750 Tm
0.000 0.000 0.500 Zr
0.000 0.500 0.000 Zr
0.500 0.000 0.000 Zr
0.500 0.500 0.500 Zr
```

(20)
Density functional theory data (PBE-GGA) for a relaxed LaTm2Zr crystal.

Output
Its density of states at the Fermi level is 4.844 states/eV per cell. The calculation puts the formation enthalpy at 0 K at 10 kJ/mol of atoms. As for the crystal system: tetragonal. Its calculated volume is 29.2 Å³ per atom. The value obtained for the energy above the most stable polymorph in this dataset is 26.0 meV/atom.

Geometry as POSCAR:
```
LaTm2Zr
1.0
4.888 0.000 0.000
0.000 4.888 0.000
0.000 0.000 4.894
La Tm Zr
1 2 1
direct
0.000 0.000 0.000 La
0.000 0.500 0.500 Tm
0.500 0.000 0.500 Tm
0.500 0.500 0.000 Zr
```